1 | This record from Alexandria describes a PBEsol-optimized structure of SrReIr2. The functional is meta-GGA SCAN.

Cell: 5.3190 5.3190 5.3190 Å, 141.35 122.30 71.62°
Closest atoms and distances in Å follow each position.
Fractional positions:
1 Sr 0.0000 0.0000 0.0000  8 Ir 3.08-3.14, 4 Re 3.11
2 Re 0.5000 0.5000 0.0000  4 Ir 2.45
3 Ir 0.3019 0.8019 0.5000  2 Re 2.45
4 Ir 0.6981 0.1981 0.5000  2 Re 2.45

Calculated values
Magnetization, μB per atom: 0.000

2 | This record from Alexandria describes a PBEsol-optimized structure of SrReIr2. The functional is meta-GGA SCAN.

Cell: 5.0572 5.0572 5.0572 Å, 133.01 133.01 68.64°
Closest atoms and distances in Å follow each position.
Fractional positions:
1 Sr 0.0000 0.0000 0.0000  8 Ir 2.85-2.90, 4 Re 2.90
2 Re 0.2500 0.7500 0.5000  8 Ir 2.85-2.90, 4 Sr 2.90
3 Ir 0.5000 0.5000 0.0000  4 Sr 2.85, 4 Re 2.90, 4 Ir 2.90
4 Ir 0.7500 0.2500 0.5000  4 Re 2.85, 4 Ir 2.90, 4 Sr 2.90

Calculated values
Magnetization, μB per atom: 0.146

Q: Which of them is the least stable? A: 2.

1 | This record from Alexandria describes a PBEsol-optimized structure of Re2TcIr. The functional is meta-GGA SCAN.

Cell: 4.7246 4.7246 4.7274 Å, 99.57 99.57 33.37°
Closest atoms and distances in Å follow each position.
Fractional positions:
1 Re 0.0000 0.0000 0.0000  5 Re 2.71-2.74, 3 Ir 2.71-2.73, 4 Tc 2.72-2.73
2 Re 0.2498 0.2498 0.7438  3 Tc 2.71, 5 Re 2.71-2.74, 4 Ir 2.71-2.74
3 Tc 0.5006 0.5006 0.5020  7 Re 2.71-2.73, 2 Tc 2.71, 3 Ir 2.73-2.74
4 Ir 0.7491 0.7491 0.2462  2 Ir 2.71, 7 Re 2.71-2.74, 3 Tc 2.73-2.74

Calculated values
Magnetization, μB per atom: 0.000

2 | This record from Alexandria describes a PBEsol-optimized structure of Re2TcIr. The functional is meta-GGA SCAN.

Cell: 2.7153 3.8609 5.4517 Å, 90.00 90.00 90.00°
Closest atoms and distances in Å follow each position.
Fractional positions:
1 Re 0.0000 0.0000 0.2427  4 Re 2.65-2.81, 4 Tc 2.71, 4 Ir 2.75
2 Re 0.0000 0.0000 0.7573  4 Re 2.65-2.81, 4 Tc 2.71, 4 Ir 2.75
3 Tc 0.5000 0.5000 0.0000  8 Re 2.71, 2 Tc 2.72, 2 Ir 2.73
4 Ir 0.5000 0.5000 0.5000  2 Ir 2.72, 2 Tc 2.73, 8 Re 2.75

Calculated values
Magnetization, μB per atom: 0.000

Q: Which of them is the least stable? A: 1.